## SrTaFe2 (GGA-PBE)

Data for SrTaFe2 after structural relaxation.

The structure in POSCAR format:
```
SrTaFe2
1.0
7.2736 0.0000 0.0000
0.0000 7.2736 0.0000
3.6368 3.6368 3.1193
Sr Fe Ta
2 4 2
Direct
0.5000 0.5000 0.0000
0.2500 0.7500 0.5000
0.0688 0.6250 0.2500
0.3750 0.3188 0.7500
0.8750 0.9312 0.7500
0.6812 0.1250 0.2500
0.7500 0.2500 0.5000
0.0000 0.0000 0.0000
```

Computed properties:
N(E_F): 1.440 states/eV per atom
Final energy: -6.616 eV/atom